No. 1
Density functional theory data (GGA-PBE) for a geometry-optimized MoPb3I structure.

Structure (POSCAR):
```
MoPb3I
1.0
5.9470 0.0000 0.0000
0.0000 5.9470 0.0000
0.0000 0.0000 5.9470
Pb I Mo
3 1 1
Cartesian
0.0000 2.9735 0.0000
0.0000 0.0000 2.9735
2.9735 0.0000 0.0000
0.0000 0.0000 0.0000
2.9735 2.9735 2.9735
```

relative energy among the computed polymorphs: 1249 meV per atom
space-group type: Pm-3m

No. 2
Density functional theory data (GGA-PBE) for a geometry-optimized K3Tm3US8 structure.

Structure (POSCAR):
```
K3Tm3US8
1.0
-4.6321 -2.8395 -5.8235
7.6452 1.6855 -1.4560
-1.6545 -7.1564 4.8054
K Tm U S
3 3 1 8
Cartesian
0.0000 0.0000 0.0000
3.8226 0.8427 -0.7280
1.5066 -0.5770 -3.6397
-3.1433 -4.9980 -0.5090
0.6793 -4.1552 -1.2371
2.9954 -2.7355 1.6747
-0.8272 -3.5782 2.4027
2.3503 -2.0228 -0.8828
-0.9916 -6.2876 -1.5913
0.0480 -3.4637 -3.7952
1.3107 -4.8468 1.3211
-3.7914 -4.3100 -3.0639
5.1501 -4.0004 0.5898
-1.4653 -2.8841 -0.1395
2.8240 -5.4264 -2.3346
```

space-group type: R-3m

No. 3
Density functional theory data (GGA-PBE) for a geometry-optimized CsGe6Te8 structure.

Structure (POSCAR):
```
CsGe6Te8
1.0
8.1203 0.2861 0.2955
0.0328 8.1253 0.2955
0.0328 0.0338 8.1306
Cs Ge Te
1 6 8
Cartesian
0.0000 0.0000 0.0000
5.0164 3.6723 6.9724
3.5141 6.8037 5.3503
6.6908 5.2276 3.8948
3.1694 4.7729 1.7492
4.6717 1.6415 3.3713
1.4950 3.2176 4.8267
5.9995 6.1896 6.3921
2.1864 2.2556 2.3295
4.8621 7.2358 2.6727
7.0806 2.5076 5.1688
2.2855 4.9357 7.3181
3.3237 1.2094 6.0489
1.1052 5.9376 3.5528
5.9003 3.5095 1.4035
```

space-group type: R-3

So what do the calculations give for raw formation energy? Going down the list: 7.41, -26.79, -1.56 eV per formula unit.